{"formula": "PaCrCu2O8", "functional": "PBE+U", "state": "relaxed", "total_energy_ev_per_fu": -79.648, "space_group": "I-4m2, No. 119", "lattice_angstrom": [[-3.2053, 3.2053, 3.6093], [3.2053, -3.2053, 3.6093], [3.2053, 3.2053, -3.6093]], "species": ["Pa", "Cr", "Cu", "Cu", "O", "O", "O", "O", "O", "O", "O", "O"], "frac_coords": [[0.0000, 0.0000, 0.0000], [0.7500, 0.2500, 0.5000], [0.2500, 0.7500, 0.5000], [0.5000, 0.5000, 0.0000], [0.0658, 0.3720, 0.3062], [0.0658, 0.7596, 0.6938], [0.0903, 0.3146, 0.7758], [0.2404, 0.9342, 0.3062], [0.5388, 0.3146, 0.2242], [0.6280, 0.9342, 0.6938], [0.6854, 0.4612, 0.7758], [0.6854, 0.9097, 0.2242]]}